Entry from Alexandria via LeMat-Bulk: an optimized crystal structure of ZrPOs2 (GGA-PBE).

a b c (Å): 5.036 5.036 5.036
angles (deg): 135.70 135.70 64.45
Element x y z (fractional)
Zr (0.000, 0.000, 0.000)
P (0.750, 0.250, 0.500)
Os (0.250, 0.750, 0.500)
Os (0.500, 0.500, 0.000)

* ρ: 13.587 g/cm³
* V: 15.4 A^3/atom
* uncorrected energy: -9.112 eV per atom
* E_form: -0.17 kcal/mol of atoms